SrScTa2Bi | PBE | relaxed

Cell: 5.022 5.022 5.186 Å, 90.00 90.00 90.00°
Element x y z (fractional)
Sr (0.000, 0.000, 0.000)
Sc (0.000, 0.000, 0.500)
Ta (0.000, 0.500, 0.000)
Ta (0.500, 0.000, 0.000)
Bi (0.500, 0.500, 0.500)

- energy (eV per atom) = -4.9257
- V (Å³ per cell) = 130.8
- DFT formation energy (meV/atom) = 2194
- density of states at the Fermi level (states/eV per atom) = 1.482